Density functional theory data (PBE-GGA) for Dy5Zn4Pb after structural relaxation.

## Properties
E_tot (eV per cell): -35.47

Unit cell a=3.5949 b=3.5949 c=18.3863 alpha=90.00 beta=90.00 gamma=90.00
Space group P4/mmm (No. 123)
Asymmetric unit:
Dy 0.0000 0.0000 0.0000 x1
Dy 0.0000 0.0000 0.1912 x2
Dy 0.0000 0.0000 0.3813 x2
Zn 0.5000 0.5000 0.0975 x2
Zn 0.5000 0.5000 0.2839 x2
Pb 0.5000 0.5000 0.5000 x1